Entry a
Density functional theory data (PBE) for PrBeRu after structural relaxation.

POSCAR file:
```
PrBeRu
1.0
4.0028 0.0000 0.0000
-2.0014 3.4666 0.0000
0.0000 0.0000 4.1337
Pr Be Ru
1 1 1
direct
0.0000 0.0000 0.0000
0.6667 0.3333 0.5000
0.3333 0.6667 0.5000
```

Results
Space-group type = P-6m2, No. 187
Crystal system = hexagonal
Total magnetic moment = 0.0 μB per cell
Density of states at the Fermi level = 2.15 states/eV/cell

=====

Entry b
Density functional theory data (PBE) for PrBeRu after structural relaxation.

POSCAR file:
```
PrBeRu
1.0
2.7543 -3.6271 0.0000
2.7543 3.6271 0.0000
0.0000 0.0000 5.8397
Pr Be Ru
2 2 2
direct
0.1562 0.8438 0.7500
0.8438 0.1562 0.2500
0.2597 0.7403 0.2500
0.7403 0.2597 0.7500
0.5000 0.5000 0.0000
0.5000 0.5000 0.5000
```

Results
Space-group type = Cmcm, No. 63
Crystal system = orthorhombic
Total magnetic moment = 0.0 μB per cell
Density of states at the Fermi level = 4.23 states/eV/cell

=====

Energy above the most stable structure, in meV/atom: entry a 0; entry b 305